# TeMoWSe2S | the Alexandria database | PBE | relaxed
data_TeMoWSe2S
_chemical_formula_sum 'Te2 Mo2 W2 Se4 S2'
_cell_length_a 3.3400
_cell_length_b 3.3400
_cell_length_c 32.9835
_cell_angle_alpha 90.00
_cell_angle_beta 90.00
_cell_angle_gamma 120.00
_symmetry_space_group_name_H-M 'P 3 m 1'
_symmetry_Int_Tables_number 156
_symmetry_space_group_name_Hall 'P 3 -2"'
loop_
_atom_site_label
_atom_site_type_symbol
_atom_site_fract_x
_atom_site_fract_y
_atom_site_fract_z
Te1 Te 0.0000 0.0000 0.0000
Te2 Te 0.0000 0.0000 0.1151
Mo1 Mo 0.6667 0.3333 0.0576
Mo2 Mo 0.6667 0.3333 0.6091
W1 W 0.0000 0.0000 0.2834
W2 W 0.0000 0.0000 0.8307
Se1 Se 0.0000 0.0000 0.5585
Se2 Se 0.0000 0.0000 0.6596
Se3 Se 0.6667 0.3333 0.7799
Se4 Se 0.6667 0.3333 0.8815
S1 S 0.6667 0.3333 0.2372
S2 S 0.6667 0.3333 0.3296
# formation energy without anion corrections: -3.28 eV/f.u.
# energy relative to the lowest polymorph listed for this composition: 0.000 eV per atom
# total energy: -6.8837 eV per atom



# K3SrGa | the Alexandria database | PBE | relaxed
data_K3SrGa
_chemical_formula_sum 'K3 Sr1 Ga1'
_cell_length_a 7.652
_cell_length_b 7.652
_cell_length_c 7.652
_cell_angle_alpha 90.00
_cell_angle_beta 90.00
_cell_angle_gamma 90.00
_symmetry_space_group_name_H-M 'P m -3 m'
_symmetry_Int_Tables_number 221
_symmetry_space_group_name_Hall '-P 4 2 3'
loop_
_atom_site_label
_atom_site_type_symbol
_atom_site_fract_x
_atom_site_fract_y
_atom_site_fract_z
K1 K 0.000 0.000 0.500
Sr1 Sr 0.000 0.000 0.000
Ga1 Ga 0.500 0.500 0.500
# ΔH_f (0 K): 0.743 eV per atom
# energy relative to the lowest polymorph listed for this composition: 0.498 eV per atom
# total energy: -0.8576 eV per atom



# CdSnSb2 | the Alexandria database | PBE | relaxed
data_CdSnSb2
_chemical_formula_sum 'Cd3 Sn3 Sb6'
_cell_length_a 4.3578
_cell_length_b 4.3578
_cell_length_c 21.3228
_cell_angle_alpha 90.00
_cell_angle_beta 90.00
_cell_angle_gamma 120.00
_symmetry_space_group_name_H-M 'R 3 m'
_symmetry_Int_Tables_number 160
_symmetry_space_group_name_Hall 'R 3 -2"'
loop_
_atom_site_label
_atom_site_type_symbol
_atom_site_fract_x
_atom_site_fract_y
_atom_site_fract_z
Cd1 Cd 0.0000 0.0000 0.0000
Sn1 Sn 0.0000 0.0000 0.1690
Sb1 Sb 0.0000 0.0000 0.4155
Sb2 Sb 0.0000 0.0000 0.5924
# formation energy without anion corrections: 0.41 eV/f.u.
# energy relative to the lowest polymorph listed for this composition: 0.146 eV per atom
# total energy: -3.1892 eV per atom



# B2C3 | the Alexandria database | PBE | relaxed
data_B2C3
_chemical_formula_sum 'B8 C12'
_cell_length_a 8.655
_cell_length_b 2.599
_cell_length_c 6.612
_cell_angle_alpha 90.00
_cell_angle_beta 116.11
_cell_angle_gamma 90.00
_symmetry_space_group_name_H-M 'C 1 2/m 1'
_symmetry_Int_Tables_number 12
_symmetry_space_group_name_Hall '-C 2y'
loop_
_atom_site_label
_atom_site_type_symbol
_atom_site_fract_x
_atom_site_fract_y
_atom_site_fract_z
B1 B 0.004 0.000 0.325
B2 B 0.205 0.000 0.179
C1 C 0.091 0.500 0.014
C2 C 0.101 0.500 0.790
C3 C 0.206 0.000 0.442
# ΔH_f (0 K): 0.286 eV per atom
# energy relative to the lowest polymorph listed for this composition: 0.050 eV per atom
# total energy: -7.9193 eV per atom



# LaTcHg2 | the Alexandria database | PBE | relaxed
data_LaTcHg2
_chemical_formula_sum 'La1 Tc1 Hg2'
_cell_length_a 3.381
_cell_length_b 3.381
_cell_length_c 7.979
_cell_angle_alpha 90.00
_cell_angle_beta 90.00
_cell_angle_gamma 90.00
_symmetry_space_group_name_H-M 'P 4/m m m'
_symmetry_Int_Tables_number 123
_symmetry_space_group_name_Hall '-P 4 2'
loop_
_atom_site_label
_atom_site_type_symbol
_atom_site_fract_x
_atom_site_fract_y
_atom_site_fract_z
La1 La 0.000 0.000 0.000
Tc1 Tc 0.000 0.000 0.500
Hg1 Hg 0.500 0.500 0.291
# ΔH_f (0 K): 0.254 eV per atom
# energy relative to the lowest polymorph listed for this composition: 0.122 eV per atom
# total energy: -3.7201 eV per atom



# La3Ga2Pd9Pb | the Alexandria database | PBE | relaxed
data_La3Ga2Pd9Pb
_chemical_formula_sum 'La3 Ga2 Pd9 Pb1'
_cell_length_a 5.7522
_cell_length_b 5.7522
_cell_length_c 12.0746
_cell_angle_alpha 90.00
_cell_angle_beta 90.00
_cell_angle_gamma 120.00
_symmetry_space_group_name_H-M 'P -3 m 1'
_symmetry_Int_Tables_number 164
_symmetry_space_group_name_Hall '-P 3 2"'
loop_
_atom_site_label
_atom_site_type_symbol
_atom_site_fract_x
_atom_site_fract_y
_atom_site_fract_z
La1 La 0.0000 0.0000 0.0000
La2 La 0.3333 0.6667 0.7503
Ga1 Ga 0.3333 0.6667 0.1596
Pd1 Pd 0.0000 0.5000 0.0000
Pd2 Pd 0.1645 0.3291 0.3133
Pb1 Pb 0.0000 0.0000 0.5000
# ΔH_f (0 K): -0.603 eV per atom
# total energy: -5.3548 eV per atom



# Pm5HoTm3 | the Alexandria database | PBE | relaxed
data_Pm5HoTm3
_chemical_formula_sum 'Pm20 Ho4 Tm12'
_cell_length_a 9.228
_cell_length_b 9.228
_cell_length_c 14.231
_cell_angle_alpha 90.00
_cell_angle_beta 90.00
_cell_angle_gamma 90.00
_symmetry_space_group_name_H-M 'I 4/m c m'
_symmetry_Int_Tables_number 140
_symmetry_space_group_name_Hall '-I 4 2c'
loop_
_atom_site_label
_atom_site_type_symbol
_atom_site_fract_x
_atom_site_fract_y
_atom_site_fract_z
Pm1 Pm 0.000 0.000 0.000
Pm2 Pm 0.201 0.299 0.132
Ho1 Ho 0.000 0.500 0.250
Tm1 Tm 0.000 0.000 0.250
Tm2 Tm 0.110 0.390 0.500
# ΔH_f (0 K): 0.319 eV per atom
# energy relative to the lowest polymorph listed for this composition: 0.138 eV per atom
# total energy: -4.3196 eV per atom



# CaHoF4 | the Alexandria database | PBE | relaxed
data_CaHoF4
_chemical_formula_sum 'Ca4 Ho4 F16'
_cell_length_a 7.225
_cell_length_b 7.225
_cell_length_c 7.629
_cell_angle_alpha 90.00
_cell_angle_beta 90.00
_cell_angle_gamma 90.00
_symmetry_space_group_name_H-M 'I 41 m d'
_symmetry_Int_Tables_number 109
_symmetry_space_group_name_Hall 'I 4bw -2'
loop_
_atom_site_label
_atom_site_type_symbol
_atom_site_fract_x
_atom_site_fract_y
_atom_site_fract_z
Ca1 Ca 0.000 0.000 0.000
Ho1 Ho 0.000 0.000 0.515
F1 F 0.000 0.312 0.501
F2 F 0.000 0.314 0.010
# formation energy without anion corrections: -21.41 eV/f.u.
# total energy: -5.9125 eV per atom



# BaZnRh2 | the Alexandria database | PBE | relaxed
data_BaZnRh2
_chemical_formula_sum 'Ba4 Zn4 Rh8'
_cell_length_a 7.412
_cell_length_b 4.391
_cell_length_c 11.596
_cell_angle_alpha 90.00
_cell_angle_beta 90.00
_cell_angle_gamma 90.00
_symmetry_space_group_name_H-M 'P n m a'
_symmetry_Int_Tables_number 62
_symmetry_space_group_name_Hall '-P 2ac 2n'
loop_
_atom_site_label
_atom_site_type_symbol
_atom_site_fract_x
_atom_site_fract_y
_atom_site_fract_z
Ba1 Ba 0.230 0.250 0.197
Zn1 Zn 0.069 0.750 0.437
Rh1 Rh 0.073 0.250 0.951
Rh2 Rh 0.239 0.250 0.468
# ΔH_f (0 K): -0.209 eV per atom
# total energy: -4.6840 eV per atom



# Sc5Au4 | the Alexandria database | PBE | relaxed
data_Sc5Au4
_chemical_formula_sum 'Sc10 Au8'
_cell_length_a 8.4537
_cell_length_b 8.4537
_cell_length_c 5.9824
_cell_angle_alpha 90.00
_cell_angle_beta 90.00
_cell_angle_gamma 120.00
_symmetry_space_group_name_H-M 'P 63/m c m'
_symmetry_Int_Tables_number 193
_symmetry_space_group_name_Hall '-P 6c 2'
loop_
_atom_site_label
_atom_site_type_symbol
_atom_site_fract_x
_atom_site_fract_y
_atom_site_fract_z
Sc1 Sc 0.0000 0.2861 0.2500
Sc2 Sc 0.3333 0.6667 0.0000
Au1 Au 0.0000 0.0000 0.0000
Au2 Au 0.0000 0.3898 0.7500
# ΔH_f (0 K): -0.690 eV per atom
# energy relative to the lowest polymorph listed for this composition: 0.000 eV per atom
# total energy: -5.6642 eV per atom